Here is YAlPt2 after structural relaxation from Alexandria. Energies are from PBE.

abc: 4.998 4.998 4.551
angles: 73.48 73.48 44.35
Fractional positions:
Pt 0.015 0.015 0.941
Al 0.734 0.734 0.857
Y 0.497 0.497 0.480
Pt 0.254 0.254 0.221

* calculated formation energy: -942.7 meV per atom
* calculated density: 11.1 g cm⁻³